No. 1
VASP calculation (GGA-PBE) on Ac4OsRuBr2 after structural relaxation.

Cell: 7.5210 4.3411 8.5593 Å, 90.00 107.01 90.00°
Fractional coordinates of all 8 atoms:
Ac: 0.2313 0.0000 0.1940
Ac: 0.2682 0.5000 0.8066
Ac: 0.7318 0.5000 0.1934
Ac: 0.7687 0.0000 0.8060
Os: 0.0000 0.5000 0.0000
Ru: 0.5000 0.0000 0.0000
Br: 0.0000 0.0000 0.5000
Br: 0.5000 0.5000 0.5000

Computed properties:
Density (g cm⁻³): 8.445
Formation energy from raw total energies (eV/atom): -0.753

=====

No. 2
VASP calculation (GGA-PBE) on Ac6Os2RuBr3 after structural relaxation.

Cell: 7.5326 7.5326 8.5485 Å, 98.46 98.46 120.00°
Fractional coordinates of all 12 atoms:
Ac: 0.1016 0.4354 0.8064
Ac: 0.2308 0.2308 0.1937
Ac: 0.4354 0.1016 0.8064
Ac: 0.5646 0.8984 0.1936
Ac: 0.7692 0.7692 0.8063
Ac: 0.8984 0.5646 0.1936
Os: 0.1666 0.8334 0.0000
Os: 0.8334 0.1666 0.0000
Ru: 0.5000 0.5000 0.0000
Br: 0.0000 0.0000 0.5000
Br: 0.3336 0.6664 0.5000
Br: 0.6664 0.3336 0.5000

Computed properties:
Density (g cm⁻³): 8.616
Formation energy from raw total energies (eV/atom): -0.730

=====

No. 3
VASP calculation (GGA-PBE) on Ac8Os3RuBr4 after structural relaxation.

Cell: 9.5799 9.5799 9.5799 Å, 54.06 54.06 54.06°
Fractional coordinates of all 16 atoms:
Ac: 0.2313 0.2313 0.2313
Ac: 0.2310 0.7312 0.7312
Ac: 0.2688 0.2688 0.7690
Ac: 0.2688 0.7690 0.2688
Ac: 0.7312 0.2310 0.7312
Ac: 0.7312 0.7312 0.2310
Ac: 0.7690 0.2688 0.2688
Ac: 0.7687 0.7687 0.7687
Os: 0.0000 0.0000 0.5000
Os: 0.0000 0.5000 0.0000
Os: 0.5000 0.0000 0.0000
Ru: 0.5000 0.5000 0.5000
Br: 0.0000 0.0000 0.0000
Br: 0.0000 0.5000 0.5000
Br: 0.5000 0.0000 0.5000
Br: 0.5000 0.5000 0.0000

Computed properties:
Density (g cm⁻³): 8.705
Formation energy from raw total energies (eV/atom): -0.719

=====

No. 4
VASP calculation (GGA-PBE) on Ac8OsRu3Br4 after structural relaxation.

Cell: 8.6671 8.6671 9.6180 Å, 116.87 116.87 59.97°
Fractional coordinates of all 16 atoms:
Ac: 0.2313 0.2313 0.6938
Ac: 0.2313 0.7316 0.6938
Ac: 0.2684 0.7687 0.3062
Ac: 0.2686 0.2686 0.3063
Ac: 0.7314 0.7314 0.6937
Ac: 0.7316 0.2313 0.6938
Ac: 0.7687 0.2684 0.3062
Ac: 0.7687 0.7687 0.3062
Os: 0.0000 0.0000 0.5000
Ru: 0.0000 0.5000 0.5000
Ru: 0.5000 0.0000 0.5000
Ru: 0.5000 0.5000 0.5000
Br: 0.0000 0.0000 0.0000
Br: 0.0000 0.5000 0.0000
Br: 0.5000 0.0000 0.0000
Br: 0.5000 0.5000 0.0000

Computed properties:
Density (g cm⁻³): 8.182
Formation energy from raw total energies (eV/atom): -0.784

=====

No. 5
VASP calculation (GGA-PBE) on Ac4OsSBr2 after structural relaxation.

Cell: 7.8416 4.2928 8.3910 Å, 90.00 106.86 90.00°
Fractional coordinates of all 8 atoms:
Ac: 0.2146 0.0000 0.1978
Ac: 0.2547 0.5000 0.7976
Ac: 0.7453 0.5000 0.2024
Ac: 0.7854 0.0000 0.8022
Os: 0.0000 0.5000 0.0000
S: 0.5000 0.0000 0.0000
Br: 0.0000 0.0000 0.5000
Br: 0.5000 0.5000 0.5000

Computed properties:
Density (g cm⁻³): 7.925
Formation energy from raw total energies (eV/atom): -1.162

=====

No. 6
VASP calculation (GGA-PBE) on Ac8Os3SBr4 after structural relaxation.

Cell: 9.6117 9.6117 9.6117 Å, 54.39 54.39 54.39°
Fractional coordinates of all 16 atoms:
Ac: 0.2162 0.7388 0.7388
Ac: 0.2332 0.2332 0.2332
Ac: 0.2612 0.2612 0.7838
Ac: 0.2612 0.7838 0.2612
Ac: 0.7388 0.2162 0.7388
Ac: 0.7388 0.7388 0.2162
Ac: 0.7668 0.7668 0.7668
Ac: 0.7838 0.2612 0.2612
Os: 0.0000 0.0000 0.5000
Os: 0.0000 0.5000 0.0000
Os: 0.5000 0.0000 0.0000
S: 0.5000 0.5000 0.5000
Br: 0.0000 0.0000 0.0000
Br: 0.0000 0.5000 0.5000
Br: 0.5000 0.0000 0.5000
Br: 0.5000 0.5000 0.0000

Computed properties:
Density (g cm⁻³): 8.332
Formation energy from raw total energies (eV/atom): -0.960

=====

No. 7
VASP calculation (GGA-PBE) on Ac8Os3SBr3 after structural relaxation.

Cell: 8.8636 8.8636 9.4081 Å, 118.16 118.16 60.00°
Fractional coordinates of all 15 atoms:
Ac: 0.2155 0.7424 0.6998
Ac: 0.2342 0.2342 0.7021
Ac: 0.2577 0.2577 0.3002
Ac: 0.2576 0.7845 0.3002
Ac: 0.7424 0.2155 0.6998
Ac: 0.7423 0.7423 0.6998
Ac: 0.7658 0.7658 0.2979
Ac: 0.7845 0.2576 0.3002
Os: 0.0000 0.0000 0.5000
Os: 0.0000 0.5000 0.5000
Os: 0.5000 0.0000 0.5000
S: 0.5000 0.5000 0.5000
Br: 0.0000 0.5000 0.0000
Br: 0.5000 0.0000 0.0000
Br: 0.5000 0.5000 0.0000

Computed properties:
Density (g cm⁻³): 8.225
Formation energy from raw total energies (eV/atom): -0.792

=====

No. 8
VASP calculation (GGA-PBE) on Ac6Os2SeBr3 after structural relaxation.

Cell: 7.7063 7.7063 8.5309 Å, 98.59 98.59 119.99°
Fractional coordinates of all 12 atoms:
Ac: 0.0755 0.4339 0.8011
Ac: 0.2073 0.2073 0.1988
Ac: 0.4339 0.0755 0.8011
Ac: 0.5661 0.9245 0.1989
Ac: 0.7927 0.7927 0.8012
Ac: 0.9245 0.5661 0.1989
Os: 0.1667 0.8333 0.0000
Os: 0.8333 0.1667 0.0000
Se: 0.5000 0.5000 0.0000
Br: 0.0000 0.0000 0.5000
Br: 0.3346 0.6654 0.5000
Br: 0.6654 0.3346 0.5000

Computed properties:
Density (g cm⁻³): 8.173
Formation energy from raw total energies (eV/atom): -1.046

=====

No. 9
VASP calculation (GGA-PBE) on Ac6SiOs2Br3 after structural relaxation.

Cell: 7.6877 7.6877 8.5055 Å, 98.71 98.71 119.99°
Fractional coordinates of all 12 atoms:
Ac: 0.0819 0.4345 0.8021
Ac: 0.2136 0.2136 0.1976
Ac: 0.4345 0.0819 0.8021
Ac: 0.5655 0.9181 0.1979
Ac: 0.7864 0.7864 0.8024
Ac: 0.9181 0.5655 0.1979
Si: 0.5000 0.5000 0.0000
Os: 0.1669 0.8331 0.0000
Os: 0.8331 0.1669 0.0000
Br: 0.0000 0.0000 0.5000
Br: 0.3363 0.6637 0.5000
Br: 0.6637 0.3363 0.5000

Computed properties:
Density (g cm⁻³): 8.045
Formation energy from raw total energies (eV/atom): -0.836

=====

No. 10
VASP calculation (GGA-PBE) on Ac4SiOsBr2 after structural relaxation.

Cell: 7.8677 4.4211 8.3695 Å, 90.00 106.64 90.00°
Fractional coordinates of all 8 atoms:
Ac: 0.2202 0.0000 0.1997
Ac: 0.2465 0.5000 0.8023
Ac: 0.7535 0.5000 0.1977
Ac: 0.7798 0.0000 0.8003
Si: 0.5000 0.0000 0.0000
Os: 0.0000 0.5000 0.0000
Br: 0.0000 0.0000 0.5000
Br: 0.5000 0.5000 0.5000

Computed properties:
Density (g cm⁻³): 7.656
Formation energy from raw total energies (eV/atom): -0.884

=====

No. 11
VASP calculation (GGA-PBE) on Ac4TeOsBr2 after structural relaxation.

Cell: 8.3014 4.4106 8.4545 Å, 90.00 106.73 90.00°
Fractional coordinates of all 8 atoms:
Ac: 0.1981 0.0000 0.1985
Ac: 0.2155 0.5000 0.7783
Ac: 0.7845 0.5000 0.2217
Ac: 0.8019 0.0000 0.8015
Te: 0.0000 0.0000 0.5000
Os: 0.0000 0.5000 0.0000
Br: 0.5000 0.0000 0.0000
Br: 0.5000 0.5000 0.5000

Computed properties:
Density (g cm⁻³): 7.762
Formation energy from raw total energies (eV/atom): -1.040

=====

No. 12
VASP calculation (GGA-PBE) on Ac8ZnOs3Br4 after structural relaxation.

Cell: 9.6633 9.6633 9.6633 Å, 54.10 54.10 54.10°
Fractional coordinates of all 16 atoms:
Ac: 0.2141 0.7405 0.7405
Ac: 0.2327 0.2327 0.2327
Ac: 0.2595 0.2595 0.7859
Ac: 0.2595 0.7859 0.2595
Ac: 0.7405 0.2141 0.7405
Ac: 0.7405 0.7405 0.2141
Ac: 0.7673 0.7673 0.7673
Ac: 0.7859 0.2595 0.2595
Zn: 0.5000 0.5000 0.5000
Os: 0.0000 0.0000 0.5000
Os: 0.0000 0.5000 0.0000
Os: 0.5000 0.0000 0.0000
Br: 0.0000 0.0000 0.0000
Br: 0.0000 0.5000 0.5000
Br: 0.5000 0.0000 0.5000
Br: 0.5000 0.5000 0.0000

Computed properties:
Density (g cm⁻³): 8.367
Formation energy from raw total energies (eV/atom): -0.759

=====

No. 13
VASP calculation (GGA-PBE) on Ac6ZnOs2Br3 after structural relaxation.

Cell: 7.6572 7.6572 8.6364 Å, 98.45 98.45 120.02°
Fractional coordinates of all 12 atoms:
Ac: 0.0764 0.4343 0.8023
Ac: 0.2075 0.2075 0.1977
Ac: 0.4343 0.0764 0.8023
Ac: 0.5657 0.9236 0.1977
Ac: 0.7925 0.7925 0.8023
Ac: 0.9236 0.5657 0.1977
Zn: 0.5000 0.5000 0.0000
Os: 0.1665 0.8335 0.0000
Os: 0.8335 0.1665 0.0000
Br: 0.0000 0.0000 0.5000
Br: 0.3316 0.6684 0.5000
Br: 0.6684 0.3316 0.5000

Computed properties:
Density (g cm⁻³): 8.114
Formation energy from raw total energies (eV/atom): -0.782

=====

No. 14
VASP calculation (GGA-PBE) on Ac3PBr3 after structural relaxation.

Cell: 10.8498 10.8498 10.8498 Å, 109.47 109.47 109.47°
Fractional coordinates of all 28 atoms:
Ac: 0.0121 0.0242 0.2621
Ac: 0.0121 0.4879 0.7500
Ac: 0.0242 0.2621 0.0121
Ac: 0.2379 0.2621 0.7500
Ac: 0.2379 0.4758 0.4879
Ac: 0.2621 0.0121 0.0242
Ac: 0.2621 0.7500 0.2379
Ac: 0.4758 0.4879 0.2379
Ac: 0.4879 0.2379 0.4758
Ac: 0.4879 0.7500 0.0121
Ac: 0.7500 0.0121 0.4879
Ac: 0.7500 0.2379 0.2621
P: 0.0000 0.2500 0.5000
P: 0.2500 0.2500 0.2500
P: 0.2500 0.5000 0.0000
P: 0.5000 0.0000 0.2500
Br: 0.2500 0.7565 0.7435
Br: 0.2500 0.9935 0.5065
Br: 0.5065 0.2500 0.9935
Br: 0.5065 0.7565 0.5130
Br: 0.5130 0.5065 0.7565
Br: 0.7435 0.2500 0.7565
Br: 0.7435 0.9935 0.9870
Br: 0.7565 0.5130 0.5065
Br: 0.7565 0.7435 0.2500
Br: 0.9870 0.7435 0.9935
Br: 0.9935 0.5065 0.2500
Br: 0.9935 0.9870 0.7435

Computed properties:
Density (g cm⁻³): 6.429
Formation energy from raw total energies (eV/atom): -1.622

=====

No. 15
VASP calculation (GGA-PBE) on Ac2PBr after structural relaxation.

Cell: 3.8213 3.8213 7.7647 Å, 90.00 90.00 90.00°
Fractional coordinates of all 4 atoms:
Ac: 0.0000 0.0000 0.2252
Ac: 0.0000 0.0000 0.7748
P: 0.5000 0.5000 0.0000
Br: 0.5000 0.5000 0.5000

Computed properties:
Density (g cm⁻³): 8.273
Energy above the lowest structure with this stoichiometry (meV per atom): 284
Formation energy from raw total energies (eV/atom): -1.175

=====

No. 16
VASP calculation (GGA-PBE) on Ac2PBr after structural relaxation.

Cell: 5.4161 5.4161 5.4161 Å, 60.00 60.00 60.00°
Fractional coordinates of all 4 atoms:
Ac: 0.2500 0.2500 0.2500
Ac: 0.7500 0.7500 0.7500
P: 0.0000 0.0000 0.0000
Br: 0.5000 0.5000 0.5000

Computed properties:
Density (g cm⁻³): 8.349
Energy above the lowest structure with this stoichiometry (meV per atom): 288
Formation energy from raw total energies (eV/atom): -1.170

=====

No. 17
VASP calculation (GGA-PBE) on Ac3PBr after structural relaxation.

Cell: 5.9002 5.9002 5.9002 Å, 90.00 90.00 90.00°
Fractional coordinates of all 5 atoms:
Ac: 0.0000 0.0000 0.5000
Ac: 0.0000 0.5000 0.0000
Ac: 0.5000 0.0000 0.0000
P: 0.0000 0.0000 0.0000
Br: 0.5000 0.5000 0.5000

Computed properties:
Density (g cm⁻³): 6.402
Formation energy from raw total energies (eV/atom): -0.517

=====

No. 18
VASP calculation (GGA-PBE) on Ac8P6Br after structural relaxation.

Cell: 11.6375 11.6375 4.5152 Å, 90.00 90.00 120.00°
Fractional coordinates of all 15 atoms:
Ac: 0.0385 0.6764 0.2544
Ac: 0.3236 0.3621 0.2544
Ac: 0.3333 0.6667 0.7482
Ac: 0.3621 0.0385 0.7456
Ac: 0.6379 0.9615 0.2544
Ac: 0.6667 0.3333 0.2518
Ac: 0.6764 0.6379 0.7456
Ac: 0.9615 0.3236 0.7456
P: 0.1388 0.4793 0.2468
P: 0.3406 0.8612 0.2468
P: 0.4793 0.3406 0.7532
P: 0.5207 0.6594 0.2468
P: 0.6594 0.1388 0.7532
P: 0.8612 0.5207 0.7532
Br: 0.0000 0.0000 0.5000

Computed properties:
Density (g cm⁻³): 6.528
Formation energy from raw total energies (eV/atom): -1.195

=====

No. 19
VASP calculation (GGA-PBE) on Ac2PBr2 after structural relaxation.

Cell: 11.4044 11.4044 11.4044 Å, 22.44 22.44 22.44°
Fractional coordinates of all 5 atoms:
Ac: 0.1160 0.1160 0.1160
Ac: 0.8840 0.8840 0.8840
P: 0.5000 0.5000 0.5000
Br: 0.2750 0.2750 0.2750
Br: 0.7250 0.7250 0.7250

Computed properties:
Density (g cm⁻³): 5.648
Formation energy from raw total energies (eV/atom): -1.763

=====

No. 20
VASP calculation (GGA-PBE) on Ac2PBr after structural relaxation.

Cell: 8.4460 8.4460 8.4460 Å, 29.64 29.64 29.64°
Fractional coordinates of all 4 atoms:
Ac: 0.0000 0.0000 0.0000
Ac: 0.1957 0.1957 0.1957
P: 0.5992 0.5992 0.5992
Br: 0.4302 0.4302 0.4302

Computed properties:
Density (g cm⁻³): 7.190
Energy above the lowest structure with this stoichiometry (meV per atom): 24
Formation energy from raw total energies (eV/atom): -1.434

=====

No. 21
VASP calculation (GGA-PBE) on Ac5P4Br after structural relaxation.

Cell: 11.8445 11.8445 11.8445 Å, 158.42 149.25 37.88°
Fractional coordinates of all 10 atoms:
Ac: 0.0000 0.0000 0.0000
Ac: 0.1991 0.1991 0.0000
Ac: 0.3877 0.3877 0.0000
Ac: 0.6123 0.6123 0.0000
Ac: 0.8009 0.8009 0.0000
P: 0.0971 0.5971 0.5000
P: 0.2984 0.7984 0.5000
P: 0.7016 0.2016 0.5000
P: 0.9029 0.4029 0.5000
Br: 0.5000 0.0000 0.5000

Computed properties:
Density (g cm⁻³): 7.123
Formation energy from raw total energies (eV/atom): -1.487